The following is a DFT calculation (GGA+U) of Ba3Mn2VO8 after structural relaxation.

Calculated values
* crystal system: trigonal
* total magnetic moment: 9.00 μB per formula unit

Cell: 5.803 5.803 7.532 Å, 90.00 90.00 120.00°
Fractional coordinates of all 14 atoms:
Ba1 0.000 0.000 0.000
Ba2 0.333 0.667 0.652
Ba3 0.667 0.333 0.348
Mn1 0.333 0.667 0.222
Mn2 0.667 0.333 0.778
V1 0.000 0.000 0.500
O1 0.155 0.311 0.348
O2 0.155 0.845 0.348
O3 0.311 0.155 0.652
O4 0.333 0.667 0.978
O5 0.667 0.333 0.022
O6 0.689 0.845 0.348
O7 0.845 0.155 0.652
O8 0.845 0.689 0.652



The following is a DFT calculation (GGA+U) of Ba2MnVO6 after structural relaxation.

Calculated values
* crystal system: trigonal
* total magnetic moment: 2.00 μB per formula unit

Cell: 5.845 5.845 4.882 Å, 90.00 90.00 120.00°
Fractional coordinates of all 10 atoms:
Ba1 0.333 0.667 0.265
Ba2 0.667 0.333 0.735
Mn1 0.000 0.000 0.500
V1 0.000 0.000 0.000
O1 0.151 0.301 0.748
O2 0.151 0.849 0.748
O3 0.301 0.151 0.252
O4 0.699 0.849 0.748
O5 0.849 0.151 0.252
O6 0.849 0.699 0.252



The following is a DFT calculation (GGA+U) of BaYMn4O7 after structural relaxation.

Calculated values
* crystal system: hexagonal
* total magnetic moment: 19.00 μB per formula unit

Cell: 6.539 6.539 10.862 Å, 90.00 90.00 120.00°
Fractional coordinates of all 26 atoms:
Ba1 0.333 0.667 0.000
Ba2 0.667 0.333 0.500
Y1 0.333 0.667 0.411
Y2 0.667 0.333 0.911
Mn1 0.000 0.000 0.473
Mn2 0.000 0.000 0.973
Mn3 0.170 0.341 0.720
Mn4 0.170 0.830 0.720
Mn5 0.341 0.170 0.220
Mn6 0.659 0.830 0.720
Mn7 0.830 0.170 0.220
Mn8 0.830 0.659 0.220
O1 0.000 0.000 0.283
O2 0.000 0.000 0.783
O3 0.013 0.507 0.802
O4 0.168 0.337 0.535
O5 0.168 0.832 0.535
O6 0.337 0.168 0.035
O7 0.493 0.507 0.802
O8 0.493 0.987 0.802
O9 0.507 0.013 0.302
O10 0.507 0.493 0.302
O11 0.663 0.832 0.535
O12 0.832 0.168 0.035
O13 0.832 0.663 0.035
O14 0.987 0.493 0.302



The following is a DFT calculation (GGA+U) of Ba3MnZn2O6 after structural relaxation.

Calculated values
* crystal system: trigonal
* total magnetic moment: 4.97 μB per formula unit

Cell: 6.087 6.087 6.864 Å, 90.00 90.00 120.00°
Fractional coordinates of all 12 atoms:
Ba1 0.000 0.000 0.000
Ba2 0.333 0.667 0.649
Ba3 0.667 0.333 0.351
Mn1 0.000 0.000 0.500
Zn1 0.333 0.667 0.214
Zn2 0.667 0.333 0.786
O1 0.163 0.326 0.304
O2 0.163 0.837 0.304
O3 0.326 0.163 0.696
O4 0.674 0.837 0.304
O5 0.837 0.163 0.696
O6 0.837 0.674 0.696



The following is a DFT calculation (GGA+U) of BaMnZnO3 after structural relaxation.

Calculated values
* crystal system: orthorhombic
* total magnetic moment: 5.00 μB per formula unit

Cell: 6.217 6.217 8.472 Å, 90.00 90.00 146.85°
Fractional coordinates of all 12 atoms:
Ba1 0.238 0.762 0.750
Ba2 0.762 0.238 0.250
Mn1 0.500 0.500 0.000
Mn2 0.500 0.500 0.500
Zn1 0.033 0.967 0.250
Zn2 0.967 0.033 0.750
O1 0.123 0.877 0.058
O2 0.123 0.877 0.442
O3 0.443 0.557 0.250
O4 0.557 0.443 0.750
O5 0.877 0.123 0.558
O6 0.877 0.123 0.942



The following is a DFT calculation (GGA+U) of Ba3Zr2MnO9 after structural relaxation.

Calculated values
* crystal system: trigonal
* total magnetic moment: 3.01 μB per formula unit

Cell: 5.867 5.867 7.193 Å, 90.00 90.00 120.00°
Fractional coordinates of all 15 atoms:
Ba1 0.000 0.000 0.000
Ba2 0.333 0.667 0.663
Ba3 0.667 0.333 0.337
Zr1 0.333 0.667 0.176
Zr2 0.667 0.333 0.824
Mn1 0.000 0.000 0.500
O1 0.000 0.500 0.000
O2 0.160 0.319 0.342
O3 0.160 0.840 0.342
O4 0.319 0.160 0.658
O5 0.500 0.000 0.000
O6 0.500 0.500 0.000
O7 0.681 0.840 0.342
O8 0.840 0.160 0.658
O9 0.840 0.681 0.658



no.,raw total energy (eV/atom)
1,-6.927
2,-7.062
3,-7.702
4,-5.630
5,-6.035
6,-7.808